1.
Entry from Alexandria: a geometry-optimized Be2CoP structure (PBE-GGA).

The structure belongs to space group P4mm (No. 99); the cell edges are 2.906, 2.906 and 4.542 Å and the angles 90.00°, 90.00° and 90.00°. The asymmetric unit holds Be at (0.000, 0.000, 0.000), Be at (0.500, 0.500, 0.224), Co at (0.000, 0.000, 0.501) and P at (0.500, 0.500, 0.733).

As for the magnetization: 0.0 μB per formula unit. Its density of states at the Fermi level is 0.430 states/eV/atom. The value obtained for the formation enthalpy at 0 K is -0.154 eV/atom.

2.
Entry from Alexandria: a geometry-optimized BeCo2P structure (PBE-GGA).

The structure belongs to space group I-4m2 (No. 119); the cell edges are 3.248, 3.248 and 7.356 Å and the angles 90.00°, 90.00° and 90.00°. The asymmetric unit holds Be at (0.000, 0.000, 0.000), Co at (0.000, 0.000, 0.500), Co at (0.000, 0.500, 0.250) and P at (0.000, 0.500, 0.750).

As for the magnetization: 0.5 μB per formula unit. Its density of states at the Fermi level is 0.886 states/eV/atom. The value obtained for the formation enthalpy at 0 K is -0.281 eV/atom.

3.
Entry from Alexandria: a geometry-optimized Be2CoP structure (PBE-GGA).

The structure belongs to space group I4/mmm (No. 139); the cell edges are 3.268, 3.268 and 6.963 Å and the angles 90.00°, 90.00° and 90.00°. The asymmetric unit holds Be at (0.000, 0.500, 0.250), Co at (0.000, 0.000, 0.000) and P at (0.000, 0.000, 0.500).

As for the magnetization: 0.0 μB per formula unit. Its density of states at the Fermi level is 0.276 states/eV/atom. The value obtained for the formation enthalpy at 0 K is -0.224 eV/atom.

4.
Entry from Alexandria: a geometry-optimized BeCoP structure (PBE-GGA).

The structure belongs to space group P3m1 (No. 156); the cell edges are 2.6523, 2.6523 and 5.2433 Å and the angles 90.00°, 90.00° and 120.00°. The asymmetric unit holds Be at (0.0000, 0.0000, 0.0000), Co at (0.6667, 0.3333, 0.3289) and P at (0.3333, 0.6667, 0.6400).

As for the magnetization: 0.3 μB per formula unit. Its density of states at the Fermi level is 0.228 states/eV/atom. The value obtained for the formation enthalpy at 0 K is -0.058 eV/atom.

5.
Entry from Alexandria: a geometry-optimized BeCo2P structure (PBE-GGA).

The structure belongs to space group R-3m (No. 166, hexagonal axes); the cell edges are 2.6154, 2.6154 and 20.6596 Å and the angles 90.00°, 90.00° and 120.00°. The asymmetric unit holds Be at (0.0000, 0.0000, 0.0000), Co at (0.0000, 0.0000, 0.2484) and P at (0.0000, 0.0000, 0.5000).

As for the magnetization: 0.0 μB per formula unit. Its density of states at the Fermi level is 0.746 states/eV/atom. The value obtained for the formation enthalpy at 0 K is -0.144 eV/atom.

6.
Entry from Alexandria: a geometry-optimized BeCo2P structure (PBE-GGA).

The structure belongs to space group F-43m (No. 216); the cell edges are 5.457, 5.457 and 5.457 Å and the angles 90.00°, 90.00° and 90.00°. The asymmetric unit holds Be at (0.000, 0.000, 0.000), Co at (0.000, 0.000, 0.500), Co at (0.250, 0.250, 0.750) and P at (0.250, 0.250, 0.250).

As for the magnetization: 2.0 μB per formula unit. Its density of states at the Fermi level is 1.246 states/eV/atom. The value obtained for the formation enthalpy at 0 K is 0.039 eV/atom.

7.
Entry from Alexandria: a geometry-optimized BeCoP structure (PBE-GGA).

The structure belongs to space group F-43m (No. 216); the cell edges are 5.122, 5.122 and 5.122 Å and the angles 90.00°, 90.00° and 90.00°. The asymmetric unit holds Be at (0.000, 0.000, 0.000), Co at (0.250, 0.250, 0.250) and P at (0.000, 0.000, 0.500).

As for the magnetization: 0.0 μB per formula unit. Its density of states at the Fermi level is 0.843 states/eV/atom. The value obtained for the formation enthalpy at 0 K is -0.333 eV/atom.

8.
Entry from Alexandria: a geometry-optimized BeCo4P structure (PBE-GGA).

The structure belongs to space group F-43m (No. 216); the cell edges are 6.499, 6.499 and 6.499 Å and the angles 90.00°, 90.00° and 90.00°. The asymmetric unit holds Be at (0.000, 0.000, 0.000), Co at (0.125, 0.125, 0.625) and P at (0.250, 0.250, 0.250).

As for the magnetization: 4.6 μB per formula unit. Its density of states at the Fermi level is 1.428 states/eV/atom. The value obtained for the formation enthalpy at 0 K is 0.380 eV/atom.

9.
Entry from Alexandria: a geometry-optimized Be2CoP structure (PBE-GGA).

The structure belongs to space group I-42d (No. 122); the cell edges are 6.314, 6.314 and 4.381 Å and the angles 90.00°, 90.00° and 90.00°. The asymmetric unit holds Be at (0.223, 0.250, 0.125), Co at (0.000, 0.000, 0.500) and P at (0.000, 0.000, 0.000).

As for the magnetization: 0.0 μB per formula unit. Its density of states at the Fermi level is 0.278 states/eV/atom. The value obtained for the formation enthalpy at 0 K is 0.276 eV/atom.

10.
Entry from Alexandria: a geometry-optimized BeCoP structure (PBE-GGA).

The structure belongs to space group F-43m (No. 216); the cell edges are 5.133, 5.133 and 5.133 Å and the angles 90.00°, 90.00° and 90.00°. The asymmetric unit holds Be at (0.000, 0.000, 0.000), Co at (0.000, 0.000, 0.500) and P at (0.250, 0.250, 0.750).

As for the magnetization: 0.0 μB per formula unit. Its density of states at the Fermi level is 0.710 states/eV/atom. The value obtained for the formation enthalpy at 0 K is -0.284 eV/atom.

11.
Entry from Alexandria: a geometry-optimized BeCo2P structure (PBE-GGA).

The structure belongs to space group C2/m (No. 12); the cell edges are 7.186, 2.605 and 4.339 Å and the angles 90.00°, 100.44° and 90.00°. The asymmetric unit holds Be at (0.000, 0.000, 0.000), Co at (0.245, 0.000, 0.747) and P at (0.000, 0.500, 0.500).

As for the magnetization: 0.7 μB per formula unit. Its density of states at the Fermi level is 0.803 states/eV/atom. The value obtained for the formation enthalpy at 0 K is -0.237 eV/atom.

12.
Entry from Alexandria: a geometry-optimized BeCo2P structure (PBE-GGA).

The structure belongs to space group Fm-3m (No. 225); the cell edges are 5.323, 5.323 and 5.323 Å and the angles 90.00°, 90.00° and 90.00°. The asymmetric unit holds Be at (0.000, 0.000, 0.000), Co at (0.250, 0.250, 0.250) and P at (0.000, 0.000, 0.500).

As for the magnetization: 1.1 μB per formula unit. Its density of states at the Fermi level is 0.326 states/eV/atom. The value obtained for the formation enthalpy at 0 K is -0.438 eV/atom.

13.
Entry from Alexandria: a geometry-optimized Be2CoP structure (PBE-GGA).

The structure belongs to space group R-3m (No. 166, hexagonal axes); the cell edges are 2.6029, 2.6029 and 21.0524 Å and the angles 90.00°, 90.00° and 120.00°. The asymmetric unit holds Be at (0.0000, 0.0000, 0.2476), Co at (0.0000, 0.0000, 0.5000) and P at (0.0000, 0.0000, 0.0000).

As for the magnetization: 0.8 μB per formula unit. Its density of states at the Fermi level is 0.725 states/eV/atom. The value obtained for the formation enthalpy at 0 K is 0.182 eV/atom.

14.
Entry from Alexandria: a geometry-optimized Be3Co3P structure (PBE-GGA).

The structure belongs to space group Cmmm (No. 65); the cell edges are 7.327, 7.366 and 5.066 Å and the angles 90.00°, 90.00° and 90.00°. The asymmetric unit holds Be at (0.000, 0.239, 0.000), Be at (0.230, 0.000, 0.500), Be at (0.247, 0.000, 0.000), Co at (0.000, 0.500, 0.251), Co at (0.250, 0.250, 0.249) and P at (0.000, 0.247, 0.500).

As for the magnetization: 0.0 μB per formula unit. Its density of states at the Fermi level is 0.354 states/eV/atom. The value obtained for the formation enthalpy at 0 K is -0.375 eV/atom.

15.
Entry from Alexandria: a geometry-optimized BeCo2P structure (PBE-GGA).

The structure belongs to space group Amm2 (No. 38); the cell edges are 3.462, 2.937 and 7.844 Å and the angles 90.00°, 90.00° and 90.00°. The asymmetric unit holds Be at (0.000, 0.000, 0.000), Co at (0.000, 0.000, 0.275), Co at (0.500, 0.000, 0.549) and P at (0.500, 0.000, 0.830).

As for the magnetization: 0.4 μB per formula unit. Its density of states at the Fermi level is 0.712 states/eV/atom. The value obtained for the formation enthalpy at 0 K is -0.360 eV/atom.

16.
Entry from Alexandria: a geometry-optimized Be2CoP structure (PBE-GGA).

The structure belongs to space group Pmmm (No. 47); the cell edges are 2.794, 3.059 and 4.453 Å and the angles 90.00°, 90.00° and 90.00°. The asymmetric unit holds Be at (0.000, 0.000, 0.243), Co at (0.500, 0.500, 0.000) and P at (0.500, 0.500, 0.500).

As for the magnetization: 0.0 μB per formula unit. Its density of states at the Fermi level is 0.416 states/eV/atom. The value obtained for the formation enthalpy at 0 K is -0.217 eV/atom.

17.
Entry from Alexandria: a geometry-optimized BeCo2P structure (PBE-GGA).

The structure belongs to space group P4/mmm (No. 123); the cell edges are 3.564, 3.564 and 3.004 Å and the angles 90.00°, 90.00° and 90.00°. The asymmetric unit holds Be at (0.000, 0.000, 0.000), Co at (0.000, 0.500, 0.500) and P at (0.500, 0.500, 0.000).

As for the magnetization: 0.0 μB per formula unit. Its density of states at the Fermi level is 0.357 states/eV/atom. The value obtained for the formation enthalpy at 0 K is -0.409 eV/atom.

18.
Entry from Alexandria: a geometry-optimized Be2CoPPd structure (PBE-GGA).

The structure belongs to space group P4/mmm (No. 123); the cell edges are 3.942, 3.942 and 4.582 Å and the angles 90.00°, 90.00° and 90.00°. The asymmetric unit holds Be at (0.000, 0.500, 0.000), Co at (0.000, 0.000, 0.000), P at (0.500, 0.500, 0.500) and Pd at (0.000, 0.000, 0.500).

As for the magnetization: 0.9 μB per formula unit. Its density of states at the Fermi level is 0.630 states/eV/atom. The value obtained for the formation enthalpy at 0 K is 0.802 eV/atom.

19.
Entry from Alexandria: a geometry-optimized BeCoPPd2 structure (PBE-GGA).

The structure belongs to space group P4/mmm (No. 123); the cell edges are 4.574, 4.574 and 3.857 Å and the angles 90.00°, 90.00° and 90.00°. The asymmetric unit holds Be at (0.000, 0.000, 0.000), Co at (0.000, 0.000, 0.500), P at (0.500, 0.500, 0.000) and Pd at (0.000, 0.500, 0.500).

As for the magnetization: 1.8 μB per formula unit. Its density of states at the Fermi level is 0.913 states/eV/atom. The value obtained for the formation enthalpy at 0 K is 0.858 eV/atom.

20.
Entry from Alexandria: a geometry-optimized PmBeCoP2 structure (PBE-GGA).

The structure belongs to space group I-4m2 (No. 119); the cell edges are 3.732, 3.732 and 10.655 Å and the angles 90.00°, 90.00° and 90.00°. The asymmetric unit holds Pm at (0.000, 0.000, 0.000), Be at (0.000, 0.500, 0.250), Co at (0.000, 0.500, 0.750) and P at (0.000, 0.000, 0.363).

As for the magnetization: 0.0 μB per formula unit. Its density of states at the Fermi level is 0.512 states/eV/atom. The value obtained for the formation enthalpy at 0 K is -0.843 eV/atom.